NdDyY2Tm5 | GGA-PBE | optimized geometry

Calculated values
Symmetry: Cmc2_1
Calculated volume: 576 Å³ per cell
Formation energy from the elements: 0.16 eV/atom

```
18
Lattice="5.578 0.000 0.000 -2.789 9.799 0.000 0.000 0.000 10.547" Properties=species:S:1:pos:R:3 pbc="T T T"
Tm 0.000 5.849 7.486
Tm 2.789 4.260 8.549
Nd 0.000 8.180 4.793
Tm 0.000 7.633 0.227
Tm 2.789 2.166 5.501
Tm 2.789 3.950 2.212
Y 0.000 2.211 3.373
Y 2.789 7.588 8.646
Tm 0.000 0.375 0.277
Nd 2.789 1.620 10.066
Y 2.789 7.637 2.468
Y 0.000 2.162 7.741
Dy 0.000 3.954 0.123
Tm 0.000 5.539 3.276
Tm 0.000 9.389 7.762
Tm 2.789 0.410 2.489
Dy 2.789 5.846 5.396
Tm 2.789 9.424 5.550
```